No. 1
Computed, not measured: a relaxed AlTlClF6 crystal at the PBE-GGA level of DFT.

Computed properties:
Calculated density: 3.71 g/cm³
Raw total energy: -4.2821 eV per atom
DOS(E_F): 1.155 states/eV/f.u.
Uncorrected formation energy: -1868 kJ/mol of formula units
Total magnetic moment: 1.00 μB per formula unit
Crystal system: triclinic

a = 5.5459 Å, b = 5.5493 Å, c = 6.4102 Å
α = 94.81°, β = 94.97°, γ = 118.87°
Space group P1 (No. 1)
Inequivalent atoms, fractional coordinates:
Al  0.0000  0.0000  0.0000 [1 per cell]
Tl  0.6591  0.3412  0.9999 [1 per cell]
Cl  0.3544  0.6457  0.5000 [1 per cell]
F  0.0037  0.2940  0.1630 [1 per cell]
F  0.2430  0.2241  0.8333 [1 per cell]
F  0.3175  0.0576  0.1636 [1 per cell]
F  0.7054  0.9966  0.8370 [1 per cell]
F  0.7760  0.7566  0.1666 [1 per cell]
F  0.9424  0.6831  0.8363 [1 per cell]

=====

No. 2
Computed, not measured: a relaxed As2Au crystal at the PBE-GGA level of DFT.

Computed properties:
Calculated density: 9.02 g/cm³
Raw total energy: -3.9851 eV per atom
DOS(E_F): 0.938 states/eV/f.u.
Formation energy: 0.207 eV/atom
Total magnetic moment: 0.00 μB per formula unit
Crystal system: monoclinic

a = 14.8975 Å, b = 2.8375 Å, c = 6.3983 Å
α = 90.00°, β = 109.28°, γ = 90.00°
Space group C2/m (No. 12)
Inequivalent atoms, fractional coordinates:
As  0.0606  0.0000  0.3885 [4 per cell]
As  0.1495  0.5000  0.0724 [4 per cell]
Au  0.1990  0.5000  0.6814 [4 per cell]

=====

No. 3
Computed, not measured: a relaxed La2PmHo4 crystal at the PBE-GGA level of DFT.

Computed properties:
Calculated density: 7.20 g/cm³
Raw total energy: -4.3839 eV per atom
DOS(E_F): 12.696 states/eV/f.u.
Formation energy: 0.318 eV/atom
Total magnetic moment: 0.10 μB per formula unit
Crystal system: tetragonal

a = 7.8066 Å, b = 7.8066 Å, c = 8.1924 Å
α = 90.00°, β = 90.00°, γ = 90.00°
Space group P4/mmm (No. 123)
Inequivalent atoms, fractional coordinates:
La  0.0000  0.0000  0.0000 [1 per cell]
La  0.0000  0.0000  0.5000 [1 per cell]
La  0.0000  0.5000  0.0000 [2 per cell]
Pm  0.5000  0.5000  0.0000 [1 per cell]
Pm  0.5000  0.5000  0.5000 [1 per cell]
Ho  0.2523  0.2523  0.2806 [8 per cell]

=====

No. 4
Computed, not measured: a relaxed Fe2PRh crystal at the PBE-GGA level of DFT.

Computed properties:
Calculated density: 8.16 g/cm³
Raw total energy: -7.5114 eV per atom
DOS(E_F): 3.207 states/eV/f.u.
Formation energy: -0.090 eV/atom
Total magnetic moment: 5.46 μB per formula unit
Crystal system: orthorhombic

a = 2.7175 Å, b = 3.7616 Å, c = 4.8882 Å
α = 90.00°, β = 90.00°, γ = 90.00°
Space group Pmmm (No. 47)
Inequivalent atoms, fractional coordinates:
Fe  0.0000  0.0000  0.2398 [2 per cell]
P  0.5000  0.5000  0.0000 [1 per cell]
Rh  0.5000  0.5000  0.5000 [1 per cell]